#i
The following is a DFT calculation (PBE) of a relaxed NdHo2Th crystal. Values from VASP.

Cell and atoms, written as Quantum ESPRESSO input:
```
&SYSTEM
  ibrav = 0, nat = 8, ntyp = 3
/
ATOMIC_SPECIES
Nd 144.24 Nd.upf
Ho 164.93 Ho.upf
Th 232.04 Th.upf
CELL_PARAMETERS angstrom
-1.1775 1.1242 -3.1421
-6.4574 1.9446 1.1164
4.8021 9.1512 5.4717
ATOMIC_POSITIONS crystal
Nd 0.6128 0.3118 0.7873
Nd 0.8999 0.7931 0.8150
Ho 0.0222 0.0091 0.5454
Ho 0.4906 0.0958 0.0569
Ho 0.7556 0.5646 0.0573
Ho 0.7572 0.5403 0.5450
Th 0.1440 0.3061 0.3143
Th 0.3690 0.7988 0.2880
```

Values from the calculation:
Space-group type: P-1, No. 2
Total moment (μB/f.u.): 0.00

#ii
The following is a DFT calculation (PBE) of a relaxed NdHo2Th crystal. Values from VASP.

Cell and atoms, written as Quantum ESPRESSO input:
```
&SYSTEM
  ibrav = 0, nat = 4, ntyp = 3
/
ATOMIC_SPECIES
Nd 144.24 Nd.upf
Ho 164.93 Ho.upf
Th 232.04 Th.upf
CELL_PARAMETERS angstrom
3.5950 0.0000 0.0000
1.7975 3.1133 0.0000
1.7975 1.0378 11.5500
ATOMIC_POSITIONS crystal
Nd 0.5005 0.5005 0.4985
Ho 0.0805 0.0805 0.7584
Ho 0.2525 0.2525 0.2424
Th 0.6664 0.6664 0.0007
```

Values from the calculation:
Space-group type: R3m, No. 160
Total moment (μB/f.u.): 0.00

Energy relative to the most stable one, in meV per atom: #i 25; #ii 0